No. 1
The following is a DFT calculation (PBE-GGA) of a geometry-optimized La2TiO5 structure.

Properties
Total moment ... 0.0 μB per formula unit
DFT total energy ... -8.74 eV/atom
Symmetry ... No. 62
Energy relative to the elements, uncorrected ... -3.420 eV/atom
DOS at the Fermi energy ... 0.0 states/eV/f.u.

Cell: 11.074 3.934 11.529 Å, 90.00 90.00 90.00°
Fractional coordinates of all 32 atoms:
La: 0.098 0.250 0.217
La: 0.137 0.250 0.559
La: 0.363 0.750 0.059
La: 0.402 0.750 0.717
La: 0.598 0.250 0.283
La: 0.637 0.250 0.941
La: 0.863 0.750 0.441
La: 0.902 0.750 0.783
Ti: 0.192 0.250 0.873
Ti: 0.308 0.750 0.373
Ti: 0.692 0.250 0.627
Ti: 0.808 0.750 0.127
O: 0.008 0.750 0.602
O: 0.035 0.250 0.833
O: 0.221 0.750 0.229
O: 0.226 0.250 0.034
O: 0.239 0.750 0.876
O: 0.261 0.250 0.376
O: 0.274 0.750 0.534
O: 0.279 0.250 0.729
O: 0.465 0.750 0.333
O: 0.492 0.250 0.102
O: 0.508 0.750 0.898
O: 0.535 0.250 0.667
O: 0.721 0.750 0.271
O: 0.726 0.250 0.466
O: 0.739 0.750 0.624
O: 0.761 0.250 0.124
O: 0.774 0.750 0.966
O: 0.779 0.250 0.771
O: 0.965 0.750 0.167
O: 0.992 0.250 0.398

***

No. 2
The following is a DFT calculation (PBE-GGA) of a geometry-optimized LaTi2TlO6 structure.

Properties
Total moment ... 0.0 μB per formula unit
DFT total energy ... -8.01 eV/atom
Symmetry ... No. 225
Energy relative to the elements, uncorrected ... -2.723 eV/atom
DOS at the Fermi energy ... 0.6 states/eV/f.u.

Cell: 5.614 5.614 5.614 Å, 60.00 60.00 60.00°
Fractional coordinates of all 10 atoms:
La: 0.000 0.000 0.000
Ti: 0.250 0.250 0.250
Ti: 0.750 0.750 0.750
Tl: 0.500 0.500 0.500
O: 0.000 0.000 0.500
O: 0.000 0.500 0.000
O: 0.000 0.500 0.500
O: 0.500 0.000 0.000
O: 0.500 0.000 0.500
O: 0.500 0.500 0.000

***

No. 3
The following is a DFT calculation (PBE-GGA) of a geometry-optimized LaTiTlO4 structure.

Properties
Total moment ... 0.0 μB per formula unit
DFT total energy ... -7.67 eV/atom
Symmetry ... No. 11
Energy relative to the elements, uncorrected ... -2.670 eV/atom
DOS at the Fermi energy ... 0.0 states/eV/f.u.

Cell: 6.392 6.122 7.654 Å, 90.00 103.77 90.00°
Fractional coordinates of all 14 atoms:
La: 0.198 0.250 0.072
La: 0.802 0.750 0.928
Ti: 0.284 0.750 0.851
Ti: 0.716 0.250 0.149
Tl: 0.319 0.250 0.611
Tl: 0.681 0.750 0.389
O: 0.091 0.522 0.844
O: 0.091 0.978 0.844
O: 0.469 0.750 0.703
O: 0.474 0.750 0.066
O: 0.526 0.250 0.934
O: 0.531 0.250 0.297
O: 0.909 0.022 0.156
O: 0.909 0.478 0.156

***

No. 4
The following is a DFT calculation (PBE-GGA) of a geometry-optimized LaUTi2O8 structure.

Properties
Total moment ... 1.0 μB per formula unit
DFT total energy ... -9.15 eV/atom
Symmetry ... No. 82
Energy relative to the elements, uncorrected ... -3.173 eV/atom
DOS at the Fermi energy ... 2.7 states/eV/f.u.

Cell: 6.773 6.773 6.773 Å, 134.72 134.72 65.96°
Fractional coordinates of all 12 atoms:
La: 0.000 0.000 0.000
U: 0.250 0.750 0.500
Ti: 0.500 0.500 0.000
Ti: 0.750 0.250 0.500
O: 0.005 0.064 0.419
O: 0.258 0.666 0.102
O: 0.334 0.436 0.591
O: 0.414 0.995 0.059
O: 0.564 0.155 0.898
O: 0.645 0.586 0.581
O: 0.845 0.742 0.409
O: 0.936 0.355 0.941

***

> DFT total energy of number 3 (LaTiTlO4)?

-7.67 eV/atom

***

> What is the DOS at the Fermi energy in the third record?

0.0 states/eV/f.u.

***

> The highest total moment belongs to which entry?

LaUTi2O8

***

> Among the records above, which one has the highest DFT total energy?

LaTiTlO4